Record 1
Computed, not measured: crystalline AcNd8Ho4 at its relaxed geometry at the GGA-PBE level of DFT.

Computed properties:
Energy of formation from the pure elements: 0.23 eV per atom
Density of states at the Fermi level: 1.03 states/eV/atom
Symmetry: R-3m (166)
Crystal system: trigonal
Calculated density: 7.34 Mg/m³

Cell: 7.3792 7.3793 10.6753 Å, 90.00 110.22 120.00°
Atoms (fractional coordinates):
Ac 0.0000 0.5000 0.5000
Nd 0.5746 0.7873 0.3620
Nd 0.4254 0.2127 0.6380
Nd 0.4858 0.2429 0.2835
Nd 0.9594 0.2023 0.7165
Nd 0.5142 0.7571 0.7165
Nd 0.9594 0.7571 0.7165
Nd 0.0406 0.2429 0.2835
Nd 0.0406 0.7977 0.2835
Ho 0.0000 0.0000 0.0000
Ho 0.0000 0.5000 0.0000
Ho 0.5000 0.5000 0.0000
Ho 0.5000 0.0000 0.0000

Record 2
Computed, not measured: crystalline AcNdHo at its relaxed geometry at the GGA-PBE level of DFT.

Computed properties:
Energy of formation from the pure elements: 0.30 eV per atom
Density of states at the Fermi level: 1.56 states/eV/atom
Symmetry: P4/nmm (129)
Crystal system: tetragonal
Calculated density: 7.67 Mg/m³

Cell: 5.1273 5.1273 8.8281 Å, 90.00 90.00 90.00°
Atoms (fractional coordinates):
Ac 0.0000 0.0000 0.0000
Ac 0.5000 0.5000 0.0000
Ho 0.0000 0.5000 0.6976
Ho 0.5000 0.0000 0.3024
Nd 0.0000 0.5000 0.3028
Nd 0.5000 0.0000 0.6972

Question: Which value of calculated density does entry 2 give?
Answer: 7.67 Mg/m³

Question: Which value of calculated density does entry 1 give?
Answer: 7.34 Mg/m³

Question: What is the energy of formation from the pure elements in the first record?
Answer: 0.23 eV per atom